--- one ---
A relaxed structure of Ba2Ca. Source: Alexandria, functional PBE-GGA.

## Properties
density of states at the Fermi level = 1.471 states/eV per atom
total magnetization = 0.00 μB/atom

Cell: 8.243 8.243 10.126 Å, 74.41 74.41 30.24°
Positions (direct):
Ba (0.994, 0.994, 0.998)
Ba (0.614, 0.614, 0.272)
Ba (0.665, 0.665, 0.674)
Ba (0.336, 0.336, 0.340)
Ca (0.942, 0.942, 0.617)
Ca (0.283, 0.283, 0.932)

--- two ---
A relaxed structure of Ba2Ca. Source: Alexandria, functional PBE-GGA.

## Properties
density of states at the Fermi level = 1.630 states/eV per atom
total magnetization = 0.00 μB/atom

Cell: 4.278 4.278 10.561 Å, 90.00 90.00 120.00°
Positions (direct):
Ba (0.667, 0.333, 0.679)
Ba (0.333, 0.667, 0.321)
Ca (0.000, 0.000, 0.000)

Most stable: one

--- one ---
A relaxed structure of Ba2Ca. Source: Alexandria, functional PBE-GGA.

## Properties
density of states at the Fermi level = 2.242 states/eV per atom
total magnetization = 0.00 μB/atom

Cell: 7.898 7.898 7.898 Å, 60.00 60.00 60.00°
Positions (direct):
Ca (0.750, 0.750, 0.750)
Ca (0.500, 0.500, 0.500)
Ba (0.125, 0.125, 0.125)
Ba (0.125, 0.625, 0.125)
Ba (0.125, 0.125, 0.625)
Ba (0.625, 0.125, 0.125)

--- two ---
A relaxed structure of Ba2Ca. Source: Alexandria, functional PBE-GGA.

## Properties
density of states at the Fermi level = 1.790 states/eV per atom
total magnetization = 0.00 μB/atom

Cell: 8.492 8.492 8.492 Å, 148.29 148.29 45.46°
Positions (direct):
Ba (0.344, 0.344, 0.000)
Ba (0.656, 0.656, 0.000)
Ca (0.000, 0.000, 0.000)

--- three ---
A relaxed structure of Ba2Ca. Source: Alexandria, functional PBE-GGA.

## Properties
density of states at the Fermi level = 1.709 states/eV per atom
total magnetization = 0.00 μB/atom

Cell: 8.219 8.219 10.198 Å, 75.12 75.12 30.15°
Positions (direct):
Ca (0.671, 0.671, 0.671)
Ca (0.273, 0.273, 0.940)
Ba (0.943, 0.943, 0.621)
Ba (0.330, 0.330, 0.336)
Ba (0.001, 0.001, 0.991)
Ba (0.615, 0.615, 0.276)

Most stable: two

--- one ---
A relaxed structure of Ba2Ca. Source: Alexandria, functional PBE-GGA.

## Properties
density of states at the Fermi level = 1.420 states/eV per atom
total magnetization = 0.64 μB/atom

Cell: 9.222 9.222 9.222 Å, 90.00 90.00 90.00°
Each line ends with the local moment (μB).
Positions (direct):
Ba (0.355, 0.145, 0.145)  0.15
Ba (0.145, 0.855, 0.645)  0.15
Ba (0.645, 0.645, 0.355)  0.15
Ba (0.855, 0.145, 0.355)  0.15
Ba (0.855, 0.355, 0.855)  0.15
Ba (0.145, 0.645, 0.145)  0.15
Ba (0.645, 0.855, 0.855)  0.15
Ba (0.355, 0.355, 0.645)  0.15
Ca (0.500, 0.000, 0.500)  0.15
Ca (0.000, 0.500, 0.500)  0.15
Ca (0.500, 0.500, 0.000)  0.15
Ca (0.000, 0.000, 0.000)  0.15

--- two ---
A relaxed structure of Ba2Ca. Source: Alexandria, functional PBE-GGA.

## Properties
density of states at the Fermi level = 2.260 states/eV per atom
total magnetization = 0.08 μB/atom

Cell: 6.673 6.673 6.673 Å, 60.00 60.00 60.00°
Positions (direct):
Ba (0.250, 0.250, 0.250)
Ba (0.750, 0.750, 0.750)
Ca (0.000, 0.000, 0.000)

Most stable: two

--- one ---
A relaxed structure of Ba5Ca4. Source: Alexandria, functional PBE-GGA.

## Properties
density of states at the Fermi level = 1.415 states/eV per atom
total magnetization = 0.00 μB/atom

Cell: 10.067 10.067 10.067 Å, 93.55 93.55 151.19°
Positions (direct):
Ca (0.656, 0.000, 0.656)
Ca (0.000, 0.656, 0.656)
Ca (0.000, 0.344, 0.344)
Ca (0.344, 0.000, 0.344)
Ba (0.333, 0.333, 0.666)
Ba (0.000, 0.000, 0.000)
Ba (0.333, 0.667, 0.000)
Ba (0.667, 0.667, 0.334)
Ba (0.667, 0.333, 0.000)

--- two ---
A relaxed structure of Ba5Ca4. Source: Alexandria, functional PBE-GGA.

## Properties
density of states at the Fermi level = 1.481 states/eV per atom
total magnetization = 0.00 μB/atom

Cell: 4.791 10.292 10.292 Å, 86.99 76.54 76.54°
Positions (direct):
Ca (0.326, 0.014, 0.334)
Ca (0.674, 0.666, 0.986)
Ca (0.674, 0.320, 0.333)
Ca (0.326, 0.667, 0.680)
Ba (0.675, 0.992, 0.658)
Ba (0.000, 0.667, 0.333)
Ba (0.000, 0.991, 0.009)
Ba (0.000, 0.342, 0.658)
Ba (0.325, 0.342, 0.008)

--- three ---
A relaxed structure of Ba5Ca4. Source: Alexandria, functional PBE-GGA.

## Properties
density of states at the Fermi level = 1.689 states/eV per atom
total magnetization = 0.00 μB/atom

Cell: 11.711 11.711 8.073 Å, 90.00 90.00 120.00°
Positions (direct):
Ba (0.343, 0.343, 0.250)
Ba (0.333, 0.667, 0.500)
Ba (0.343, 0.000, 0.750)
Ba (0.657, 0.000, 0.250)
Ba (0.667, 0.333, 0.000)
Ba (0.657, 0.657, 0.750)
Ba (0.667, 0.333, 0.500)
Ba (0.000, 0.657, 0.250)
Ba (0.000, 0.343, 0.750)
Ba (0.333, 0.667, 0.000)
Ca (0.686, 0.686, 0.250)
Ca (0.000, 0.000, 0.000)
Ca (0.000, 0.686, 0.750)
Ca (0.000, 0.000, 0.500)
Ca (0.314, 0.314, 0.750)
Ca (0.000, 0.314, 0.250)
Ca (0.686, 0.000, 0.750)
Ca (0.314, 0.000, 0.250)

Most stable: two

--- one ---
A relaxed structure of Ba3Ca4. Source: Alexandria, functional PBE-GGA.

## Properties
density of states at the Fermi level = 1.497 states/eV per atom
total magnetization = 0.00 μB/atom

Cell: 4.715 4.715 16.318 Å, 81.69 81.69 90.00°
Positions (direct):
Ca (0.574, 0.574, 0.853)
Ca (0.426, 0.426, 0.147)
Ca (0.133, 0.133, 0.734)
Ca (0.867, 0.867, 0.266)
Ba (0.000, 0.000, 0.000)
Ba (0.706, 0.706, 0.588)
Ba (0.294, 0.294, 0.412)

--- two ---
A relaxed structure of Ba3Ca4. Source: Alexandria, functional PBE-GGA.

## Properties
density of states at the Fermi level = 1.251 states/eV per atom
total magnetization = 0.00 μB/atom

Cell: 7.596 7.596 7.247 Å, 90.00 90.00 120.00°
Positions (direct):
Ba (0.000, 0.500, 0.000)
Ba (0.500, 0.500, 0.000)
Ba (0.500, 0.000, 0.000)
Ca (0.000, 0.000, 0.744)
Ca (0.000, 0.000, 0.256)
Ca (0.333, 0.667, 0.500)
Ca (0.667, 0.333, 0.500)

Most stable: one

--- one ---
A relaxed structure of Ba4Ca. Source: Alexandria, functional PBE-GGA.

## Properties
density of states at the Fermi level = 1.724 states/eV per atom
total magnetization = 0.00 μB/atom

Cell: 8.407 6.794 11.733 Å, 90.00 90.00 66.05°
Positions (direct):
Ba (0.192, 0.403, 0.662)
Ba (0.192, 0.903, 0.338)
Ba (0.771, 0.617, 0.905)
Ba (0.229, 0.883, 0.905)
Ba (0.808, 0.097, 0.662)
Ba (0.771, 0.117, 0.095)
Ba (0.808, 0.597, 0.338)
Ba (0.229, 0.383, 0.095)
Ca (0.500, 0.250, 0.394)
Ca (0.500, 0.750, 0.606)

--- two ---
A relaxed structure of Ba4Ca. Source: Alexandria, functional PBE-GGA.

## Properties
density of states at the Fermi level = 1.782 states/eV per atom
total magnetization = 0.16 μB/atom

Cell: 5.310 5.310 11.737 Å, 76.93 76.93 90.00°
Each line ends with the local moment (μB).
Positions (direct):
Ba (0.409, 0.409, 0.183)  0.05
Ba (0.250, 0.750, 0.500)  0.01
Ba (0.750, 0.250, 0.500)  0.01
Ba (0.591, 0.591, 0.817)  0.05
Ca (0.000, 0.000, 0.000)  0.05

Most stable: one

--- one ---
A relaxed structure of BaCa. Source: Alexandria, functional PBE-GGA.

## Properties
density of states at the Fermi level = 1.617 states/eV per atom
total magnetization = 0.00 μB/atom

Cell: 13.854 13.854 13.854 Å, 17.41 17.41 17.41°
Positions (direct):
Ba (0.754, 0.754, 0.754)
Ba (0.996, 0.996, 0.996)
Ca (0.246, 0.246, 0.246)
Ca (0.504, 0.504, 0.504)

--- two ---
A relaxed structure of BaCa. Source: Alexandria, functional PBE-GGA.

## Properties
density of states at the Fermi level = 1.412 states/eV per atom
total magnetization = 0.00 μB/atom

Cell: 8.083 8.083 6.576 Å, 90.00 90.00 151.50°
Positions (direct):
Ba (0.572, 0.428, 0.750)
Ba (0.428, 0.572, 0.250)
Ca (0.820, 0.180, 0.750)
Ca (0.180, 0.820, 0.250)

--- three ---
A relaxed structure of BaCa. Source: Alexandria, functional PBE-GGA.

## Properties
density of states at the Fermi level = 1.508 states/eV per atom
total magnetization = 0.00 μB/atom

Cell: 8.032 8.032 9.997 Å, 74.28 74.28 30.40°
Positions (direct):
Ca (0.939, 0.939, 0.611)
Ca (0.338, 0.338, 0.345)
Ca (0.282, 0.282, 0.930)
Ba (0.666, 0.666, 0.667)
Ba (0.620, 0.620, 0.273)
Ba (0.988, 0.988, 0.007)

--- four ---
A relaxed structure of BaCa. Source: Alexandria, functional PBE-GGA.

## Properties
density of states at the Fermi level = 1.288 states/eV per atom
total magnetization = 0.00 μB/atom

Cell: 4.062 4.062 14.423 Å, 90.00 90.00 120.00°
Positions (direct):
Ca (0.333, 0.667, 0.409)
Ca (0.667, 0.333, 0.909)
Ba (0.667, 0.333, 0.173)
Ba (0.333, 0.667, 0.673)

Most stable: three

--- one ---
A relaxed structure of BaCa. Source: Alexandria, functional PBE-GGA.

## Properties
density of states at the Fermi level = 1.431 states/eV per atom
total magnetization = 0.00 μB/atom

Cell: 4.184 4.184 13.674 Å, 90.00 90.00 120.00°
Positions (direct):
Ca (0.667, 0.333, 0.739)
Ca (0.000, 0.000, 0.511)
Ba (0.000, 0.000, 0.989)
Ba (0.667, 0.333, 0.261)

--- two ---
A relaxed structure of BaCa. Source: Alexandria, functional PBE-GGA.

## Properties
density of states at the Fermi level = 1.952 states/eV per atom
total magnetization = 0.31 μB/atom

Cell: 12.149 12.149 12.149 Å, 90.00 90.00 90.00°
Each line ends with the local moment (μB).
Positions (direct):
Ca (0.893, 0.893, 0.107)  0.03
Ca (0.893, 0.107, 0.893)  0.03
Ca (0.607, 0.607, 0.607)  0.03
Ca (0.107, 0.107, 0.107)  0.03
Ca (0.607, 0.393, 0.393)  0.03
Ca (0.107, 0.893, 0.893)  0.03
Ca (0.393, 0.393, 0.607)  0.03
Ca (0.393, 0.607, 0.393)  0.03
Ba (0.203, 0.797, 0.203)  0.07
Ba (0.703, 0.703, 0.297)  0.07
Ba (0.297, 0.297, 0.297)  0.07
Ba (0.703, 0.297, 0.703)  0.07
Ba (0.203, 0.203, 0.797)  0.07
Ba (0.797, 0.203, 0.203)  0.07
Ba (0.797, 0.797, 0.797)  0.07
Ba (0.297, 0.703, 0.703)  0.07

Most stable: one